Record 1
First-principles (GGA-PBE) data for a geometry-optimized ZnCdOs2 structure, as listed in Alexandria via LeMat-Bulk.

ΔH_f (0 K) = 2.74 eV per formula unit
ΔE to the lowest computed polymorph = 515 meV/atom
V = 62.7 Å³/f.u.

Cell: 2.726 2.726 8.444 Å, 90.00 90.00 90.00°
Space group P4/mmm (No. 123)
Asymmetric unit:
1 Zn 0.000 0.000 0.000 x1
2 Cd 0.000 0.000 0.500 x1
3 Os 0.500 0.500 0.232 x2

Record 2
First-principles (GGA-PBE) data for a geometry-optimized Zn3CdOs structure, as listed in Alexandria via LeMat-Bulk.

ΔH_f (0 K) = 3.17 eV per formula unit
ΔE to the lowest computed polymorph = 0 meV/atom
V = 111.9 Å³/f.u.

Cell: 4.819 4.819 4.819 Å, 90.00 90.00 90.00°
Space group Pm-3m (No. 221)
Asymmetric unit:
1 Zn 0.000 0.000 0.500 x3
2 Cd 0.500 0.500 0.500 x1
3 Os 0.000 0.000 0.000 x1

Record 3
First-principles (GGA-PBE) data for a geometry-optimized ZnCdOs2 structure, as listed in Alexandria via LeMat-Bulk.

ΔH_f (0 K) = 2.11 eV per formula unit
ΔE to the lowest computed polymorph = 357 meV/atom
V = 62.9 Å³/f.u.

Cell: 2.780 4.605 4.937 Å, 90.00 95.21 90.00°
Space group P2/m (No. 10)
Asymmetric unit:
1 Zn 0.000 0.000 0.000 x1
2 Cd 0.500 0.000 0.500 x1
3 Os 0.218 0.500 0.773 x2